(1)
CdFePCl2 (PBE, optimized geometry); ρ = 4.310 g/cm3; crystal system = tetragonal; raw formation energy = 33 meV/atom; relative energy among the computed polymorphs = 0.000 eV per atom; space-group type = P4/mmm, No. 123
1.0
4.804 0.000 0.000
0.000 4.804 0.000
0.000 0.000 4.509
Cd Fe P Cl
1 1 1 2
Direct
0.000 0.000 0.000 Cd
0.500 0.500 0.500 Fe
0.500 0.500 0.000 P
0.000 0.500 0.500 Cl
0.500 0.000 0.500 Cl



(2)
Nd4GaIrCl2 (PBE, optimized geometry); ρ = 6.707 g/cm3; crystal system = monoclinic; raw formation energy = -1066 meV/atom; space-group type = P2/m, No. 10
1.0
7.582 0.000 0.000
0.000 4.058 0.000
-2.547 0.000 7.322
Nd Ga Ir Cl
4 1 1 2
Direct
0.229 0.000 0.278 Nd
0.238 0.500 0.711 Nd
0.762 0.500 0.289 Nd
0.771 0.000 0.722 Nd
0.500 0.500 0.500 Ga
0.000 0.000 0.500 Ir
0.000 0.500 0.000 Cl
0.500 0.000 0.000 Cl



Repeat the first record exactly.
CdFePCl2 (PBE, optimized geometry); ρ = 4.310 g/cm3; crystal system = tetragonal; raw formation energy = 33 meV/atom; relative energy among the computed polymorphs = 0.000 eV per atom; space-group type = P4/mmm, No. 123
1.0
4.804 0.000 0.000
0.000 4.804 0.000
0.000 0.000 4.509
Cd Fe P Cl
1 1 1 2
Direct
0.000 0.000 0.000 Cd
0.500 0.500 0.500 Fe
0.500 0.500 0.000 P
0.000 0.500 0.500 Cl
0.500 0.000 0.500 Cl



> What is the raw formation energy in the first record?

33 meV/atom